## InOsPb2 (GGA-PBE)

Data for InOsPb2 after structural relaxation.

Lattice parameters (Å, degrees): 7.343 7.343 7.343 154.66 143.19 45.22
Fractional positions:
In1 0.000 0.000 0.000
Os1 0.177 0.677 0.500
Pb1 0.364 0.364 0.000
Pb2 0.680 0.180 0.500

Output
Energy relative to the elements, eV/atom: 0.538
N(E_F), states/eV per atom: 0.7616
Space-group type: Imm2 (44)

## In3OsPb (GGA-PBE)

Data for In3OsPb after structural relaxation.

Lattice parameters (Å, degrees): 5.208 5.208 5.208 90.00 90.00 90.00
Fractional positions:
In1 0.000 0.000 0.500
In2 0.000 0.500 0.000
In3 0.500 0.000 0.000
Os1 0.000 0.000 0.000
Pb1 0.500 0.500 0.500

Output
Energy relative to the elements, eV/atom: 0.356
Energy above the lowest structure with this stoichiometry, eV/atom: 0.000
N(E_F), states/eV per atom: 1.0619
Space-group type: Pm-3m (221)

## InOs3Pb (GGA-PBE)

Data for InOs3Pb after structural relaxation.

Lattice parameters (Å, degrees): 4.931 4.931 4.931 90.00 90.00 90.00
Fractional positions:
In1 0.000 0.000 0.000
Os1 0.000 0.000 0.500
Os2 0.000 0.500 0.000
Os3 0.500 0.000 0.000
Pb1 0.500 0.500 0.500

Output
Energy relative to the elements, eV/atom: 2.598
Energy above the lowest structure with this stoichiometry, eV/atom: 0.000
N(E_F), states/eV per atom: 1.1821
Space-group type: Pm-3m (221)

## InOsPb (GGA-PBE)

Data for InOsPb after structural relaxation.

Lattice parameters (Å, degrees): 6.841 6.841 6.841 152.44 152.44 39.37
Fractional positions:
In1 0.000 0.000 0.000
Os1 0.380 0.380 0.000
Pb1 0.736 0.736 0.000

Output
Energy relative to the elements, eV/atom: 0.590
Energy above the lowest structure with this stoichiometry, eV/atom: 0.023
N(E_F), states/eV per atom: 0.7435
Space-group type: I4mm (107)

## InOsPb2 (GGA-PBE)

Data for InOsPb2 after structural relaxation.

Lattice parameters (Å, degrees): 7.633 7.633 7.633 126.11 126.11 79.71
Fractional positions:
In1 0.000 0.000 0.000
In2 0.750 0.250 0.500
Os1 0.250 0.750 0.500
Os2 0.500 0.500 0.000
Pb1 0.183 0.625 0.058
Pb2 0.375 0.433 0.558
Pb3 0.567 0.125 0.942
Pb4 0.875 0.817 0.442

Output
Energy relative to the elements, eV/atom: 0.992
N(E_F), states/eV per atom: 0.9250
Space-group type: I-42d (122)

## InOsPb (GGA-PBE)

Data for InOsPb after structural relaxation.

Lattice parameters (Å, degrees): 3.291 3.291 6.976 90.00 90.00 120.00
Fractional positions:
In1 0.000 0.000 0.000
Os1 0.667 0.333 0.288
Pb1 0.333 0.667 0.589

Output
Energy relative to the elements, eV/atom: 0.640
Energy above the lowest structure with this stoichiometry, eV/atom: 0.074
N(E_F), states/eV per atom: 0.5857
Space-group type: P3m1 (156)

Number 1: total magnetic moment 0.00 μB per formula unit. Number 2: total magnetic moment 0.00 μB per formula unit. Number 3: total magnetic moment 4.77 μB per formula unit. Number 4: total magnetic moment 0.00 μB per formula unit. Number 5: total magnetic moment 0.00 μB per formula unit. Number 6: total magnetic moment 0.00 μB per formula unit.